Entry from Alexandria: an optimized crystal structure of TbCeZrPa (GGA-PBE).

Results
As for the space-group type: F-43m (216). As for the formation enthalpy at 0 K: 282 meV/atom. Its calculated total energy is -27.480 eV per cell.

a b c (Å): 5.2995 5.2995 5.2995
angles (deg): 60.00 60.00 60.00
Atoms (fractional coordinates):
Tb (0.0000, 0.0000, 0.0000)
Ce (0.2500, 0.2500, 0.2500)
Zr (0.7500, 0.7500, 0.7500)
Pa (0.5000, 0.5000, 0.5000)